Crystalline PrY5Er5 at its relaxed geometry. Source: Alexandria, functional PBE-GGA.

The structure in extended XYZ format:
```
11
Lattice="6.073 0.000 0.000 -3.037 5.260 0.000 0.000 0.000 11.554" Properties=species:S:1:pos:R:3 pbc="T T T"
Pr 0.000 0.000 0.000
Y 0.000 0.000 3.758
Y 0.000 0.000 7.796
Y 0.000 3.507 1.856
Y 0.000 3.507 9.698
Y 3.037 1.753 0.000
Er -1.512 2.633 5.777
Er 1.512 2.633 5.777
Er 0.000 5.253 5.777
Er 3.037 1.753 3.076
Er 3.037 1.753 8.477
```

N(E_F) = 1.922 states/eV per atom
formation energy from the elements = 0.293 eV per atom

---

Crystalline CePm5N4 at its relaxed geometry. Source: Alexandria, functional PBE-GGA.

The structure in extended XYZ format:
```
10
Lattice="7.892 -1.791 0.000 7.892 1.791 0.000 -1.647 0.000 7.218" Properties=species:S:1:pos:R:3 pbc="T T T"
Ce 0.000 0.000 0.000
Pm -0.824 0.000 3.609
Pm 5.046 0.000 1.089
Pm 4.241 0.000 5.001
Pm 9.897 0.000 2.217
Pm 9.092 0.000 6.129
N 2.471 0.000 0.589
N 6.625 0.000 5.465
N 7.513 0.000 1.753
N 11.667 0.000 6.629
```

N(E_F) = 0.714 states/eV per atom
formation energy from raw total energies = -1.14 eV per atom

---

Crystalline Tb4Pm2NdY2 at its relaxed geometry. Source: Alexandria, functional PBE-GGA.

The structure in extended XYZ format:
```
9
Lattice="9.420 -1.814 0.000 9.420 1.814 0.000 -4.186 0.000 8.686" Properties=species:S:1:pos:R:3 pbc="T T T"
Tb -1.049 0.000 2.915
Tb 3.144 0.000 5.768
Tb 11.510 0.000 2.919
Tb 15.703 0.000 5.771
Pm 3.141 0.000 0.009
Pm 11.514 0.000 8.678
Nd 9.420 0.000 0.000
Y 5.238 0.000 2.915
Y 9.416 0.000 5.772
```

N(E_F) = 1.364 states/eV per atom
formation energy from the elements = -0.004 eV per atom

---

Crystalline BaWBr2 at its relaxed geometry. Source: Alexandria, functional PBE-GGA.

The structure in extended XYZ format:
```
4
Lattice="4.522 0.000 0.000 0.000 4.613 0.000 0.000 0.000 5.931" Properties=species:S:1:pos:R:3 pbc="T T T"
Ba 0.000 0.000 0.000
W 0.000 2.306 2.966
Br 2.261 0.000 2.966
Br 2.261 2.306 0.000
```

N(E_F) = 0.606 states/eV per atom
formation energy from raw total energies = 0.30 eV per atom

---

Crystalline CsTl2Ga at its relaxed geometry. Source: Alexandria, functional PBE-GGA.

The structure in extended XYZ format:
```
12
Lattice="4.816 0.000 0.000 -2.408 4.171 0.000 0.000 0.000 23.191" Properties=species:S:1:pos:R:3 pbc="T T T"
Cs 0.000 0.000 0.000
Cs 0.000 2.780 15.461
Cs 2.408 1.390 7.730
Tl 0.000 0.000 4.963
Tl 0.000 0.000 18.228
Tl 0.000 2.780 10.498
Tl 0.000 2.780 20.423
Tl 2.408 1.390 2.767
Tl 2.408 1.390 12.693
Ga 0.000 0.000 11.595
Ga 0.000 2.780 3.865
Ga 2.408 1.390 19.326
```

N(E_F) = 0.326 states/eV per atom
formation energy from the elements = -0.068 eV per atom

---

Crystalline ScSbTe2C at its relaxed geometry. Source: Alexandria, functional PBE-GGA.

The structure in extended XYZ format:
```
5
Lattice="5.473 0.000 0.000 0.000 5.473 0.000 0.000 0.000 5.533" Properties=species:S:1:pos:R:3 pbc="T T T"
Sc 0.000 0.000 0.000
Sb 0.000 0.000 2.766
Te 0.000 2.736 0.000
Te 2.736 0.000 0.000
C 2.736 2.736 2.766
```

N(E_F) = 1.413 states/eV per atom
formation energy from raw total energies = 1.33 eV per atom

---

Crystalline Li2CuSi at its relaxed geometry. Source: Alexandria, functional PBE-GGA.

The structure in extended XYZ format:
```
4
Lattice="2.594 0.000 0.000 0.000 4.092 0.000 -0.572 0.000 4.987" Properties=species:S:1:pos:R:3 pbc="T T T"
Li -0.091 0.000 1.224
Li 2.114 0.000 3.763
Cu 1.011 2.046 2.494
Si 1.297 2.046 0.000
```

N(E_F) = 0.211 states/eV per atom
formation energy from raw total energies = -0.12 eV per atom

---

Crystalline YCuSi2 at its relaxed geometry. Source: Alexandria, functional PBE-GGA.

The structure in extended XYZ format:
```
16
Lattice="6.589 0.000 0.000 0.000 6.589 0.000 0.000 0.000 6.589" Properties=species:S:1:pos:R:3 pbc="T T T"
Y 0.000 0.000 0.000
Y 0.000 3.294 3.294
Y 3.294 0.000 3.294
Y 3.294 3.294 0.000
Cu 0.000 0.000 3.294
Cu 0.000 3.294 0.000
Cu 3.294 0.000 0.000
Cu 3.294 3.294 3.294
Si 1.647 1.647 1.647
Si 1.647 1.647 4.941
Si 1.647 4.941 1.647
Si 1.647 4.941 4.941
Si 4.941 1.647 1.647
Si 4.941 1.647 4.941
Si 4.941 4.941 1.647
Si 4.941 4.941 4.941
```

N(E_F) = 0.514 states/eV per atom
formation energy from raw total energies = 0.03 eV per atom

---

no.,ρ (g/cm3),total moment (μB per formula unit),VASP energy (eV per atom)
1,6.396,0.04,-5.154
2,7.497,0.00,-7.437
3,6.979,0.00,-5.083
4,6.456,4.77,-4.260
5,6.539,0.00,-2.221
6,4.349,1.68,-3.861
7,3.309,0.00,-3.455
8,4.845,0.00,-5.323